PmYTlIr: relaxed, PBE-GGA.

a b c (Å): 7.3108 7.3108 7.3108
angles (deg): 90.00 90.00 90.00
Last column: nearest neighbours and their distance in Å.
Space group F-43m (No. 216)
Symmetry-distinct sites (fractional):
1 Pm 0.0000 0.0000 0.0000  4 Tl 3.17, 4 Ir 3.17
2 Y 0.0000 0.0000 0.5000  4 Tl 3.17, 4 Ir 3.17
3 Tl 0.2500 0.2500 0.2500  4 Pm 3.17, 4 Y 3.17
4 Ir 0.2500 0.2500 0.7500  4 Pm 3.17, 4 Y 3.17

Summary:
Mass density: 10.7 Mg/m³
D(E_F): 0.726 states/eV/atom
Calculated formation energy: -0.43 eV per atom

PmYTlIr: relaxed, PBE-GGA.

a b c (Å): 3.5130 3.5130 8.1288
angles (deg): 90.00 90.00 90.00
Last column: nearest neighbours and their distance in Å.
Space group P4mm (No. 99)
Symmetry-distinct sites (fractional):
1 Pm 0.0000 0.0000 0.0000  4 Ir 3.04, 1 Y 3.36
2 Y 0.0000 0.0000 0.5871  4 Ir 2.96
3 Tl 0.5000 0.5000 0.3014  4 Y 3.40, 4 Pm 3.49, 4 Tl 3.51
4 Ir 0.5000 0.5000 0.7845  4 Y 2.96, 4 Pm 3.04

Summary:
Mass density: 10.4 Mg/m³
D(E_F): 0.810 states/eV/atom
Calculated formation energy: -0.56 eV per atom

PmTm2Ir9: relaxed, PBE-GGA.

a b c (Å): 5.3168 5.3168 26.1981
angles (deg): 90.00 90.00 120.00
Last column: nearest neighbours and their distance in Å.
Space group R-3m (No. 166, hexagonal axes)
Symmetry-distinct sites (fractional):
1 Pm 0.0000 0.0000 0.0000  18 Ir 3.07-3.43
2 Tm 0.0000 0.0000 0.1397  12 Ir 3.05-3.28, 3 Tm 3.38
3 Ir 0.0000 0.0000 0.3331  6 Ir 2.65-2.67
4 Ir 0.0000 0.0000 0.5000  6 Ir 2.68
5 Ir 0.9996 0.4998 0.0829  7 Ir 2.65-2.68

Summary:
Mass density: 17.2 Mg/m³
D(E_F): 1.083 states/eV/atom
Calculated formation energy: -0.59 eV per atom

Pm2TmIr2: relaxed, PBE-GGA.

a b c (Å): 4.9080 4.8469 10.4004
angles (deg): 90.00 90.06 90.00
Last column: nearest neighbours and their distance in Å.
Space group P2_1/m (No. 11)
Symmetry-distinct sites (fractional):
1 Pm 0.2501 0.2500 0.0044  4 Ir 2.94-3.02
2 Pm 0.2504 0.2500 0.6704  6 Ir 2.97-3.06
3 Tm 0.2495 0.2500 0.3424  6 Ir 2.92-3.05
4 Ir 0.2495 0.7500 0.1645  6 Pm 2.94-3.02, 2 Tm 3.05
5 Ir 0.2501 0.7500 0.5053  4 Tm 2.92-2.96, 4 Pm 2.97-3.06

Summary:
Mass density: 11.3 Mg/m³
D(E_F): 0.644 states/eV/atom
Calculated formation energy: -0.68 eV per atom

Pm4TmIr3: relaxed, PBE-GGA.

a b c (Å): 11.2412 11.2412 6.1506
angles (deg): 90.00 90.00 90.00
Last column: nearest neighbours and their distance in Å.
Space group I4/mcm (No. 140)
Symmetry-distinct sites (fractional):
1 Pm 0.0829 0.2118 0.0000  4 Ir 2.98-3.08, 1 Pm 3.26
2 Tm 0.0000 0.5000 0.2500  4 Ir 2.84, 2 Tm 3.08
3 Ir 0.0000 0.0000 0.2500  8 Pm 2.98, 2 Ir 3.08
4 Ir 0.1502 0.3498 0.5000  2 Tm 2.84, 4 Pm 3.05-3.08

Summary:
Mass density: 11.3 Mg/m³
D(E_F): 0.710 states/eV/atom
Calculated formation energy: -0.64 eV per atom

Pm2TmIr: relaxed, PBE-GGA.

a b c (Å): 3.6049 3.6049 8.6444
angles (deg): 90.00 90.00 90.00
Last column: nearest neighbours and their distance in Å.
Space group P4/mmm (No. 123)
Symmetry-distinct sites (fractional):
1 Pm 0.0000 0.0000 0.1902  4 Ir 3.03, 1 Pm 3.29
2 Tm 0.5000 0.5000 0.5000  4 Tm 3.60, 8 Pm 3.70
3 Ir 0.5000 0.5000 0.0000  8 Pm 3.03

Summary:
Mass density: 9.6 Mg/m³
D(E_F): 1.145 states/eV/atom
Calculated formation energy: -0.25 eV per atom